Computed, not measured: MnCd2Pd5Au2 after structural relaxation at the GGA-PBE level of DFT.

Unit cell a=3.036 b=10.788 c=10.788 alpha=90.00 beta=90.00 gamma=90.00
Atoms (fractional coordinates):
Mn 0.000 0.000 0.000
Mn 0.000 0.500 0.500
Cd 0.000 0.661 0.161
Cd 0.000 0.339 0.839
Cd 0.000 0.161 0.339
Cd 0.000 0.839 0.661
Pd 0.500 0.195 0.004
Pd 0.500 0.805 0.996
Pd 0.500 0.004 0.805
Pd 0.500 0.695 0.496
Pd 0.500 0.996 0.195
Pd 0.500 0.305 0.504
Pd 0.500 0.504 0.695
Pd 0.500 0.496 0.305
Pd 0.500 0.500 0.000
Pd 0.500 0.000 0.500
Au 0.000 0.155 0.655
Au 0.000 0.845 0.345
Au 0.000 0.655 0.845
Au 0.000 0.345 0.155

Calculated values
SG: P4/mbm
theoretical density: 11.33 g cm⁻³
energy of formation: -0.132 eV/atom